Below is a geometry-optimized Cr3Te2S2 structure, with properties calculated at the GGA-PBE level.

Unit cell a=13.165 b=3.800 c=6.514 alpha=90.00 beta=113.52 gamma=90.00
Space group C2/m (No. 12)
One atom of each set of equivalent atoms:
Cr (0.000, 0.000, 0.000) x2
Cr (0.236, 0.500, 0.780) x4
Te (0.127, 0.500, 0.310) x4
S (0.137, 0.000, 0.836) x4

Calculated values
- uncorrected energy (eV for the cell shown) = -92.7
- E_form (uncorrected) (meV/atom) = -419
- spin magnetization (μB per formula unit) = 10.0